Entry 1:
Material: PuInGaAu
Method: DFT, GGA-PBE
State: optimized geometry

Unit cell a=7.0402 b=7.0402 c=7.0402 alpha=90.00 beta=90.00 gamma=90.00
Element x y z (fractional)
Pu 0.0000 0.0000 0.0000
Pu 0.0000 0.5000 0.5000
Pu 0.5000 0.0000 0.5000
Pu 0.5000 0.5000 0.0000
In 0.0000 0.0000 0.5000
In 0.0000 0.5000 0.0000
In 0.5000 0.0000 0.0000
In 0.5000 0.5000 0.5000
Ga 0.2500 0.2500 0.7500
Ga 0.2500 0.7500 0.2500
Ga 0.7500 0.2500 0.2500
Ga 0.7500 0.7500 0.7500
Au 0.2500 0.2500 0.2500
Au 0.2500 0.7500 0.7500
Au 0.7500 0.2500 0.7500
Au 0.7500 0.7500 0.2500

Summary:
volume = 21.8 Å³/atom
ρ = 11.9 Mg/m³
ΔH_f (0 K) = -33.4 kJ/mol of atoms
space group = No. 216


Entry 2:
Material: CrAsBr2Cl
Method: DFT, GGA-PBE
State: optimized geometry

Unit cell a=5.1376 b=5.1376 c=5.3193 alpha=90.00 beta=90.00 gamma=90.00
Element x y z (fractional)
Cr 0.0000 0.0000 0.0000
As 0.5000 0.5000 0.0000
Br 0.0000 0.5000 0.5000
Br 0.5000 0.0000 0.5000
Cl 0.5000 0.5000 0.5000

Summary:
volume = 28.1 Å³/atom
ρ = 3.8 Mg/m³
E_form (uncorrected) = 917 meV per atom
space group = No. 123
distance to the lowest polymorph of the same formula = 728 meV/atom


Entry 3:
Material: Ac2CuIrO8
Method: DFT, GGA-PBE
State: optimized geometry

Unit cell a=5.5594 b=5.7823 c=6.5941 alpha=80.35 beta=84.47 gamma=69.27
Element x y z (fractional)
Ac 0.0998 0.1591 0.2258
Ac 0.9002 0.8409 0.7742
Cu 0.5000 0.5000 0.5000
Ir 0.5000 0.5000 0.0000
O 0.2319 0.7970 0.4938
O 0.2434 0.4088 0.8916
O 0.2665 0.8358 0.9799
O 0.3662 0.4260 0.2776
O 0.6338 0.5740 0.7224
O 0.7335 0.1642 0.0201
O 0.7566 0.5912 0.1084
O 0.7681 0.2030 0.5062

Summary:
volume = 16.3 Å³/atom
ρ = 7.1 Mg/m³
E_form (uncorrected) = -1736 meV per atom
space group = No. 2


Entry 4:
Material: NaIn6Ag2
Method: DFT, GGA-PBE
State: optimized geometry

Unit cell a=6.3220 b=6.3220 c=7.5097 alpha=90.00 beta=90.00 gamma=120.00
Element x y z (fractional)
Na 0.0000 0.0000 0.0000
In 0.0000 0.5000 0.2012
In 0.0000 0.5000 0.7988
In 0.5000 0.0000 0.2012
In 0.5000 0.0000 0.7988
In 0.5000 0.5000 0.2012
In 0.5000 0.5000 0.7988
Ag 0.3333 0.6667 0.5000
Ag 0.6667 0.3333 0.5000

Summary:
volume = 28.9 Å³/atom
ρ = 5.9 Mg/m³
ΔH_f (0 K) = 6.7 kJ/mol of atoms
space group = No. 191


Entry 5:
Material: Ho4HPd2
Method: DFT, GGA-PBE
State: optimized geometry

Unit cell a=4.6728 b=4.6728 c=14.2336 alpha=90.00 beta=90.00 gamma=90.00
Element x y z (fractional)
Ho 0.0000 0.0000 0.1866
Ho 0.0000 0.0000 0.8134
Ho 0.0000 0.5000 0.0000
Ho 0.0000 0.5000 0.5000
Ho 0.5000 0.0000 0.0000
Ho 0.5000 0.0000 0.5000
Ho 0.5000 0.5000 0.3134
Ho 0.5000 0.5000 0.6866
H 0.0000 0.0000 0.0000
H 0.5000 0.5000 0.5000
Pd 0.0000 0.0000 0.3763
Pd 0.0000 0.0000 0.6237
Pd 0.5000 0.5000 0.1237
Pd 0.5000 0.5000 0.8763

Summary:
volume = 22.2 Å³/atom
ρ = 9.3 Mg/m³
space group = No. 139
DFT total energy = -5.1217 eV per atom


Entry 6:
Material: BaCrSi2
Method: DFT, GGA-PBE
State: optimized geometry

Unit cell a=7.1254 b=7.1254 c=7.1254 alpha=90.00 beta=90.00 gamma=90.00
Element x y z (fractional)
Ba 0.0000 0.0000 0.0000
Ba 0.0000 0.5000 0.5000
Ba 0.5000 0.0000 0.5000
Ba 0.5000 0.5000 0.0000
Cr 0.0000 0.0000 0.5000
Cr 0.0000 0.5000 0.0000
Cr 0.5000 0.0000 0.0000
Cr 0.5000 0.5000 0.5000
Si 0.2500 0.2500 0.2500
Si 0.2500 0.2500 0.7500
Si 0.2500 0.7500 0.2500
Si 0.2500 0.7500 0.7500
Si 0.7500 0.2500 0.2500
Si 0.7500 0.2500 0.7500
Si 0.7500 0.7500 0.2500
Si 0.7500 0.7500 0.7500

Summary:
volume = 22.6 Å³/atom
ρ = 4.5 Mg/m³
E_form (uncorrected) = 496 meV per atom
space group = No. 225
distance to the lowest polymorph of the same formula = 631 meV/atom


Entry 7:
Material: ZrTlRe2
Method: DFT, GGA-PBE
State: optimized geometry

Unit cell a=2.8693 b=2.8693 c=9.0800 alpha=90.00 beta=90.00 gamma=90.00
Element x y z (fractional)
Zr 0.0000 0.0000 0.0000
Tl 0.0000 0.0000 0.5000
Re 0.5000 0.5000 0.2446
Re 0.5000 0.5000 0.7554

Summary:
volume = 18.7 Å³/atom
ρ = 14.8 Mg/m³
ΔH_f (0 K) = 76.5 kJ/mol of atoms
space group = No. 123
distance to the lowest polymorph of the same formula = 645 meV/atom


Entry 8:
Material: LaSn2Br8
Method: DFT, GGA-PBE
State: optimized geometry

Unit cell a=8.1118 b=8.1118 c=8.3622 alpha=106.68 beta=106.68 gamma=70.60
Element x y z (fractional)
La 0.0000 0.0000 0.0000
Sn 0.1343 0.1343 0.6209
Sn 0.8657 0.8657 0.3791
Br 0.1258 0.7013 0.1863
Br 0.1931 0.1931 0.3102
Br 0.2987 0.8742 0.8137
Br 0.3367 0.3367 0.7919
Br 0.6633 0.6633 0.2081
Br 0.7013 0.1258 0.1863
Br 0.8069 0.8069 0.6898
Br 0.8742 0.2987 0.8137

Summary:
volume = 44.2 Å³/atom
ρ = 3.5 Mg/m³
E_form (uncorrected) = -1065 meV per atom
space group = No. 12


Entry 9:
Material: V3PPd
Method: DFT, GGA-PBE
State: optimized geometry

Unit cell a=4.6541 b=4.6541 c=4.6541 alpha=90.00 beta=90.00 gamma=90.00
Element x y z (fractional)
V 0.0000 0.0000 0.5000
V 0.0000 0.5000 0.0000
V 0.5000 0.0000 0.0000
P 0.5000 0.5000 0.5000
Pd 0.0000 0.0000 0.0000

Summary:
volume = 20.2 Å³/atom
ρ = 4.8 Mg/m³
ΔH_f (0 K) = 123.4 kJ/mol of atoms
space group = No. 221
distance to the lowest polymorph of the same formula = 1059 meV/atom


Entry 10:
Material: Mn3SnI8
Method: DFT, GGA-PBE
State: optimized geometry

Unit cell a=8.5630 b=8.5630 c=9.0568 alpha=118.89 beta=118.89 gamma=60.01
Element x y z (fractional)
Mn 0.0000 0.0000 0.0000
Mn 0.0000 0.5000 0.0000
Mn 0.5000 0.0000 0.0000
Sn 0.5000 0.5000 0.0000
I 0.2211 0.7550 0.2261
I 0.2402 0.2402 0.2158
I 0.2450 0.2450 0.7741
I 0.2450 0.7789 0.7739
I 0.7550 0.2211 0.2261
I 0.7550 0.7550 0.2259
I 0.7598 0.7598 0.7842
I 0.7789 0.2450 0.7739

Summary:
volume = 39.8 Å³/atom
ρ = 4.5 Mg/m³
E_form (uncorrected) = -437 meV per atom
space group = No. 12


Entry 11:
Material: BaNiTe
Method: DFT, GGA-PBE
State: optimized geometry

Unit cell a=4.9023 b=14.9740 c=5.2033 alpha=90.00 beta=90.00 gamma=90.00
Element x y z (fractional)
Ba 0.0000 0.1238 0.0000
Ba 0.0000 0.8762 0.5000
Ba 0.5000 0.3762 0.5000
Ba 0.5000 0.6238 0.0000
Ni 0.0000 0.5001 0.2491
Ni 0.0000 0.4999 0.7491
Ni 0.5000 0.0001 0.2491
Ni 0.5000 0.9999 0.7491
Te 0.0000 0.3604 0.9997
Te 0.0000 0.6396 0.4997
Te 0.5000 0.1396 0.4997
Te 0.5000 0.8604 0.9997

Summary:
volume = 31.8 Å³/atom
ρ = 5.6 Mg/m³
E_form (uncorrected) = -840 meV per atom
space group = No. 36


Entry 12:
Material: SmCd4Bi
Method: DFT, GGA-PBE
State: optimized geometry

Unit cell a=6.0121 b=6.0121 c=6.0121 alpha=60.00 beta=60.00 gamma=60.00
Element x y z (fractional)
Sm 0.0000 0.0000 0.0000
Cd 0.3749 0.3749 0.3749
Cd 0.3749 0.3749 0.8752
Cd 0.3749 0.8752 0.3749
Cd 0.8752 0.3749 0.3749
Bi 0.7500 0.7500 0.7500

Summary:
volume = 25.6 Å³/atom
ρ = 8.7 Mg/m³
ΔH_f (0 K) = -12.2 kJ/mol of atoms
space group = No. 216


Entry 13:
Material: ErCdAg2
Method: DFT, GGA-PBE
State: optimized geometry

Unit cell a=3.5620 b=3.5620 c=6.7722 alpha=90.00 beta=90.00 gamma=90.00
Element x y z (fractional)
Er 0.0000 0.0000 0.0000
Cd 0.0000 0.0000 0.5000
Ag 0.5000 0.5000 0.2585
Ag 0.5000 0.5000 0.7415

Summary:
volume = 21.5 Å³/atom
ρ = 9.6 Mg/m³
ΔH_f (0 K) = -19.7 kJ/mol of atoms
space group = No. 123
distance to the lowest polymorph of the same formula = 70 meV/atom


Entry 14:
Material: Na2Ac2Au15
Method: DFT, GGA-PBE
State: optimized geometry

Unit cell a=7.4439 b=7.4439 c=7.4439 alpha=81.39 beta=81.39 gamma=81.39
Element x y z (fractional)
Na 0.0942 0.0942 0.0942
Na 0.9058 0.9058 0.9058
Ac 0.3474 0.3474 0.3474
Ac 0.6526 0.6526 0.6526
Au 0.0000 0.0000 0.5000
Au 0.0000 0.3049 0.6951
Au 0.0000 0.5000 0.0000
Au 0.0000 0.6951 0.3049
Au 0.1576 0.6479 0.6479
Au 0.3049 0.0000 0.6951
Au 0.3049 0.6951 0.0000
Au 0.3521 0.3521 0.8424
Au 0.3521 0.8424 0.3521
Au 0.5000 0.0000 0.0000
Au 0.6479 0.1576 0.6479
Au 0.6479 0.6479 0.1576
Au 0.6951 0.0000 0.3049
Au 0.6951 0.3049 0.0000
Au 0.8424 0.3521 0.3521

Summary:
volume = 21.0 Å³/atom
ρ = 14.3 Mg/m³
ΔH_f (0 K) = -38.4 kJ/mol of atoms
space group = No. 166


Entry 15:
Material: BaCo2
Method: DFT, GGA-PBE
State: optimized geometry

Unit cell a=7.0171 b=7.0171 c=7.0171 alpha=90.00 beta=90.00 gamma=90.00
Element x y z (fractional)
Ba 0.0000 0.0000 0.0000
Ba 0.0000 0.5000 0.5000
Ba 0.5000 0.0000 0.5000
Ba 0.5000 0.5000 0.0000
Co 0.0860 0.5860 0.9140
Co 0.0860 0.9140 0.4140
Co 0.4140 0.0860 0.9140
Co 0.4140 0.4140 0.4140
Co 0.5860 0.5860 0.5860
Co 0.5860 0.9140 0.0860
Co 0.9140 0.0860 0.5860
Co 0.9140 0.4140 0.0860

Summary:
volume = 28.8 Å³/atom
ρ = 4.9 Mg/m³
ΔH_f (0 K) = 134.6 kJ/mol of atoms
space group = No. 205


Entry 16:
Material: LiCl3
Method: DFT, GGA-PBE
State: optimized geometry

Unit cell a=3.8736 b=3.8736 c=6.9514 alpha=90.00 beta=90.00 gamma=120.00
Element x y z (fractional)
Li 0.0000 0.0000 0.0000
Cl 0.0000 0.0000 0.5000
Cl 0.3333 0.6667 0.1748
Cl 0.3333 0.6667 0.8252

Summary:
volume = 22.6 Å³/atom
ρ = 2.1 Mg/m³
E_form (uncorrected) = -483 meV per atom
space group = No. 187
distance to the lowest polymorph of the same formula = 383 meV/atom


Entry 17:
Material: HoTm6Ni2
Method: DFT, GGA-PBE
State: optimized geometry

Unit cell a=8.4106 b=8.4106 c=8.4106 alpha=112.16 beta=110.00 gamma=106.30
Element x y z (fractional)
Ho 0.0000 0.0000 0.0000
Ho 0.5000 0.5000 0.0000
Tm 0.1242 0.8188 0.3054
Tm 0.2165 0.3142 0.5306
Tm 0.2165 0.6858 0.9023
Tm 0.2547 0.0399 0.7852
Tm 0.2547 0.4695 0.2148
Tm 0.4866 0.1812 0.3054
Tm 0.5134 0.8188 0.6946
Tm 0.7453 0.5305 0.7852
Tm 0.7453 0.9601 0.2148
Tm 0.7835 0.3142 0.0977
Tm 0.7835 0.6858 0.4694
Tm 0.8758 0.1812 0.6946
Ni 0.1208 0.6208 0.5000
Ni 0.5000 0.1760 0.6760
Ni 0.5000 0.8240 0.3240
Ni 0.8792 0.3792 0.5000

Summary:
volume = 25.4 Å³/atom
ρ = 9.4 Mg/m³
ΔH_f (0 K) = -13.9 kJ/mol of atoms
space group = No. 71


Entry 18:
Material: ScAs2Ir
Method: DFT, GGA-PBE
State: optimized geometry

Unit cell a=6.4707 b=6.4707 c=6.4707 alpha=90.00 beta=90.00 gamma=90.00
Element x y z (fractional)
Sc 0.0000 0.0000 0.0000
Sc 0.0000 0.5000 0.5000
Sc 0.5000 0.0000 0.5000
Sc 0.5000 0.5000 0.0000
As 0.2500 0.2500 0.2500
As 0.2500 0.2500 0.7500
As 0.2500 0.7500 0.2500
As 0.2500 0.7500 0.7500
As 0.7500 0.2500 0.2500
As 0.7500 0.2500 0.7500
As 0.7500 0.7500 0.2500
As 0.7500 0.7500 0.7500
Ir 0.0000 0.0000 0.5000
Ir 0.0000 0.5000 0.0000
Ir 0.5000 0.0000 0.0000
Ir 0.5000 0.5000 0.5000

Summary:
volume = 16.9 Å³/atom
ρ = 9.5 Mg/m³
ΔH_f (0 K) = -36.7 kJ/mol of atoms
space group = No. 225
distance to the lowest polymorph of the same formula = 276 meV/atom


Entry 19:
Material: K2ZrRh
Method: DFT, GGA-PBE
State: optimized geometry

Unit cell a=7.6952 b=7.6952 c=7.6952 alpha=90.00 beta=90.00 gamma=90.00
Element x y z (fractional)
K 0.2500 0.2500 0.2500
K 0.2500 0.2500 0.7500
K 0.2500 0.7500 0.2500
K 0.2500 0.7500 0.7500
K 0.7500 0.2500 0.2500
K 0.7500 0.2500 0.7500
K 0.7500 0.7500 0.2500
K 0.7500 0.7500 0.7500
Zr 0.0000 0.0000 0.0000
Zr 0.0000 0.5000 0.5000
Zr 0.5000 0.0000 0.5000
Zr 0.5000 0.5000 0.0000
Rh 0.0000 0.0000 0.5000
Rh 0.0000 0.5000 0.0000
Rh 0.5000 0.0000 0.0000
Rh 0.5000 0.5000 0.5000

Summary:
volume = 28.5 Å³/atom
ρ = 4.0 Mg/m³
ΔH_f (0 K) = 137.7 kJ/mol of atoms
space group = No. 225
distance to the lowest polymorph of the same formula = 1313 meV/atom


Entry 20:
Material: RbSbP
Method: DFT, GGA-PBE
State: optimized geometry

Unit cell a=3.8129 b=10.1849 c=10.9510 alpha=83.50 beta=89.82 gamma=89.85
Element x y z (fractional)
Rb 0.0004 0.0277 0.2766
Rb 0.9996 0.9723 0.7234
Rb 0.4991 0.4509 0.6977
Rb 0.5009 0.5491 0.3023
Sb 0.0017 0.3683 0.0786
Sb 0.4964 0.7930 0.0179
Sb 0.5036 0.2070 0.9821
Sb 0.9983 0.6317 0.9214
P 0.0013 0.3005 0.4658
P 0.4983 0.8132 0.4826
P 0.5017 0.1868 0.5174
P 0.9987 0.6995 0.5342

Summary:
volume = 35.2 Å³/atom
ρ = 3.7 Mg/m³
E_form (uncorrected) = -195 meV per atom
space group = No. 2
distance to the lowest polymorph of the same formula = 88 meV/atom